No. 1
{"formula": "Sr2CoSiRh", "functional": "meta-GGA SCAN", "state": "single point on PBEsol structure", "vol_a3_per_cell": 138.50, "spacegroup": "P4/mmm, No. 123", "dft_energy_ev_per_atom": -20.711, "cell": [[5.5846, 0.0000, 0.0000], [0.0000, 5.5846, 0.0000], [0.0000, 0.0000, 4.4409]], "species": ["Sr", "Sr", "Co", "Si", "Rh"], "fractional_positions": [[0.0000, 0.5000, 0.0000], [0.5000, 0.0000, 0.0000], [0.0000, 0.0000, 0.5000], [0.5000, 0.5000, 0.5000], [0.0000, 0.0000, 0.0000]]}



No. 2
{"formula": "CoSn3Rh", "functional": "meta-GGA SCAN", "state": "single point on PBEsol structure", "delta_e_f_ev_per_atom": 0.50, "vol_a3_per_cell": 104.19, "spacegroup": "Pm-3m, No. 221", "cell": [[4.7055, 0.0000, 0.0000], [0.0000, 4.7055, 0.0000], [0.0000, 0.0000, 4.7055]], "species": ["Co", "Sn", "Sn", "Sn", "Rh"], "fractional_positions": [[0.0000, 0.0000, 0.0000], [0.0000, 0.0000, 0.5000], [0.0000, 0.5000, 0.0000], [0.5000, 0.0000, 0.0000], [0.5000, 0.5000, 0.5000]]}



Across the entries above, magnetic moment takes the values 3.6; 0.0 μB/f.u., respectively.